{
  "formula": "CuOsRh2",
  "functional": "PBE",
  "state": "optimized geometry",
  "ef_ev_per_atom": 0.32,
  "de_polymorph_mev_per_atom": 300,
  "space_group": "Cmm2",
  "lattice": [[2.7048, 0.0000, 0.0000], [0.0000, 4.5990, 0.0000], [0.0000, 0.0000, 9.1103]],
  "species": ["Cu", "Cu", "Os", "Os", "Rh", "Rh", "Rh", "Rh"],
  "frac_coords": [[0.0000, 0.0000, 0.0000], [0.5000, 0.5000, 0.0000], [0.0000, 0.5000, 0.2476], [0.5000, 0.0000, 0.2476], [0.0000, 0.0000, 0.4995], [0.0000, 0.5000, 0.7571], [0.5000, 0.0000, 0.7571], [0.5000, 0.5000, 0.4995]]
}

=====

{
  "formula": "SmThNiRu",
  "functional": "PBE",
  "state": "optimized geometry",
  "ef_ev_per_atom": -0.44,
  "space_group": "Amm2",
  "lattice": [[4.0494, 0.0000, 0.0000], [0.0000, 3.8824, 0.0000], [0.0000, 0.0000, 11.1755]],
  "species": ["Sm", "Sm", "Th", "Th", "Ni", "Ni", "Ru", "Ru"],
  "frac_coords": [[0.0000, 0.0000, 0.0000], [0.0000, 0.5000, 0.5000], [0.5000, 0.0000, 0.2740], [0.5000, 0.5000, 0.7740], [0.5000, 0.0000, 0.5601], [0.5000, 0.5000, 0.0601], [0.0000, 0.0000, 0.7272], [0.0000, 0.5000, 0.2272]]
}

=====

{
  "formula": "CaIn3Sb",
  "functional": "PBE",
  "state": "optimized geometry",
  "de_polymorph_mev_per_atom": 0,
  "formation_energy_uncorrected_ev_per_fu": 1.3,
  "space_group": "Pm-3m",
  "lattice": [[5.7028, 0.0000, 0.0000], [0.0000, 5.7028, 0.0000], [0.0000, 0.0000, 5.7028]],
  "species": ["Ca", "In", "In", "In", "Sb"],
  "frac_coords": [[0.0000, 0.0000, 0.0000], [0.0000, 0.5000, 0.5000], [0.5000, 0.0000, 0.5000], [0.5000, 0.5000, 0.0000], [0.5000, 0.5000, 0.5000]]
}

=====

{
  "formula": "AgIrCl",
  "functional": "PBE",
  "state": "optimized geometry",
  "de_polymorph_mev_per_atom": 8,
  "formation_energy_uncorrected_ev_per_fu": 0.3,
  "space_group": "Pm",
  "lattice": [[3.0576, 0.0000, 0.0000], [0.0000, 3.6469, 0.0000], [-1.5429, 0.0000, 10.9298]],
  "species": ["Ag", "Ag", "Ir", "Ir", "Cl", "Cl"],
  "frac_coords": [[0.0000, 0.0000, 0.0000], [0.3258, 0.5000, 0.6408], [0.2009, 0.5000, 0.3919], [0.7456, 0.0000, 0.4808], [0.0946, 0.5000, 0.1808], [0.4376, 0.5000, 0.8713]]
}

=====

{
  "formula": "VPtI3",
  "functional": "PBE",
  "state": "optimized geometry",
  "de_polymorph_mev_per_atom": 122,
  "formation_energy_uncorrected_ev_per_fu": 3.5,
  "space_group": "Pm-3m",
  "lattice": [[5.4180, 0.0000, 0.0000], [0.0000, 5.4180, 0.0000], [0.0000, 0.0000, 5.4180]],
  "species": ["V", "Pt", "I", "I", "I"],
  "frac_coords": [[0.0000, 0.0000, 0.0000], [0.5000, 0.5000, 0.5000], [0.0000, 0.0000, 0.5000], [0.0000, 0.5000, 0.0000], [0.5000, 0.0000, 0.0000]]
}

=====

{
  "formula": "Sm3CuHg3",
  "functional": "PBE",
  "state": "optimized geometry",
  "ef_ev_per_atom": -0.36,
  "space_group": "Imm2",
  "lattice": [[3.6835, 0.0000, 0.0000], [0.0000, 4.8415, 0.0000], [0.0000, 0.0000, 20.1066]],
  "species": ["Sm", "Sm", "Sm", "Sm", "Sm", "Sm", "Cu", "Cu", "Hg", "Hg", "Hg", "Hg", "Hg", "Hg"],
  "frac_coords": [[0.0000, 0.0000, 0.0000], [0.0000, 0.0000, 0.3809], [0.0000, 0.5000, 0.2003], [0.5000, 0.0000, 0.7003], [0.5000, 0.5000, 0.5000], [0.5000, 0.5000, 0.8809], [0.0000, 0.5000, 0.7640], [0.5000, 0.0000, 0.2640], [0.0000, 0.0000, 0.5459], [0.0000, 0.0000, 0.8345], [0.0000, 0.5000, 0.6340], [0.5000, 0.0000, 0.1340], [0.5000, 0.5000, 0.0459], [0.5000, 0.5000, 0.3345]]
}

=====

{
  "formula": "La4Cu2Hg",
  "functional": "PBE",
  "state": "optimized geometry",
  "ef_ev_per_atom": -0.13,
  "space_group": "R-3m",
  "lattice": [[2.6217, 1.5136, 8.4157], [-2.6217, 1.5136, 8.4157], [0.0000, -3.0272, 8.4157]],
  "species": ["La", "La", "La", "La", "Cu", "Cu", "Hg"],
  "frac_coords": [[0.1163, 0.1163, 0.1163], [0.3685, 0.3685, 0.3685], [0.6315, 0.6315, 0.6315], [0.8837, 0.8837, 0.8837], [0.2463, 0.2463, 0.2463], [0.7537, 0.7537, 0.7537], [0.5000, 0.5000, 0.5000]]
}

=====

| no. | DOS(E_F) (states/eV per atom) | mass density (g/cm³) |
| --- | --- | --- |
| 1 | 1.5563 | 13.47 |
| 2 | 0.6580 | 10.25 |
| 3 | 0.6442 | 4.53 |
| 4 | 0.5837 | 9.14 |
| 5 | 1.8469 | 6.54 |
| 6 | 0.9829 | 10.34 |
| 7 | 1.4596 | 7.32 |